# CrMoPd3 | the Alexandria database | PBE | relaxed
# D(E_F) in states/eV per cell: 8.46
# E_form in kJ/mol of formula units: 799
# Relative energy among the computed polymorphs in meV/atom: 295.2
# Theoretical density in g/cm3: 7.294
# Magnetization in Bohr magnetons per cell: 0.54
data_CrMoPd3
_chemical_formula_sum 'Cr1 Mo1 Pd3'
_symmetry_space_group_name_H-M 'P m -3 m'
_symmetry_Int_Tables_number 221
_symmetry_space_group_name_Hall '-P 4 2 3'
_cell_length_a 4.738
_cell_length_b 4.738
_cell_length_c 4.738
_cell_angle_alpha 90.00
_cell_angle_beta 90.00
_cell_angle_gamma 90.00
loop_
_atom_site_label
_atom_site_fract_x
_atom_site_fract_y
_atom_site_fract_z
Cr1 0.000 0.000 0.000
Mo1 0.500 0.500 0.500
Pd1 0.000 0.500 0.500